<a>
Here is an optimized crystal structure of Tb2OsO6 from the Alexandria database. Energies are from PBE.

Summary:
As for the density of states at the Fermi level: 0.414 states/eV/atom. Its space group is P2_1/c (14).

abc: 5.469 5.821 7.801
angles: 90.00 97.49 90.00
Site moments in Bohr magnetons follow the coordinates.
Fractional coordinates of all 18 atoms:
O1 0.205 0.329 0.054  0.11
O2 0.336 0.576 0.775  0.07
O3 0.357 0.770 0.093  0.07
O4 0.164 0.076 0.725  0.07
O5 0.143 0.270 0.407  0.07
O6 0.857 0.730 0.593  0.07
O7 0.643 0.230 0.907  0.07
O8 0.664 0.424 0.225  0.07
O9 0.705 0.171 0.554  0.11
O10 0.836 0.924 0.275  0.07
O11 0.795 0.671 0.946  0.11
O12 0.295 0.829 0.446  0.11
Tb1 0.045 0.588 0.235  0.06
Tb2 0.955 0.412 0.765  0.06
Tb3 0.455 0.088 0.265  0.06
Tb4 0.545 0.912 0.735  0.06
Os1 0.500 0.500 0.000  1.29
Os2 0.000 0.000 0.500  1.29

<b>
Here is an optimized crystal structure of Tb2OsO6 from the Alexandria database. Energies are from PBE.

Summary:
As for the density of states at the Fermi level: 0.349 states/eV/atom. Its space group is P4_2/mnm (136).

abc: 5.012 5.012 10.031
angles: 90.00 90.00 90.00
Site moments in Bohr magnetons follow the coordinates.
Fractional coordinates of all 18 atoms:
O1 0.314 0.314 0.644  0.07
O2 0.772 0.228 0.500  0.05
O3 0.186 0.814 0.144  0.07
O4 0.228 0.772 0.500  0.05
O5 0.814 0.186 0.144  0.07
O6 0.314 0.314 0.356  0.07
O7 0.686 0.686 0.644  0.07
O8 0.186 0.814 0.856  0.07
O9 0.686 0.686 0.356  0.07
O10 0.272 0.272 0.000  0.05
O11 0.814 0.186 0.856  0.07
O12 0.728 0.728 0.000  0.05
Tb1 0.000 0.000 0.670  0.07
Tb2 0.500 0.500 0.170  0.07
Tb3 0.500 0.500 0.830  0.07
Tb4 0.000 0.000 0.330  0.07
Os1 0.500 0.500 0.500  1.35
Os2 0.000 0.000 0.000  1.35

Tell me which of them is the most stable. Sure, it is <a>.

<a>
Here is an optimized crystal structure of TbOsO4 from the Alexandria database. Energies are from PBE.

Summary:
As for the density of states at the Fermi level: 0.546 states/eV/atom. Its space group is P2_1/c (14).

abc: 5.317 5.226 5.360
angles: 90.00 98.47 90.00
Site moments in Bohr magnetons follow the coordinates.
Fractional coordinates of all 12 atoms:
O1 0.114 0.350 0.820  0.16
O2 0.886 0.650 0.180  0.16
O3 0.230 0.795 0.645  0.06
O4 0.770 0.205 0.355  0.06
O5 0.270 0.295 0.355  0.06
O6 0.386 0.850 0.180  0.16
O7 0.614 0.150 0.820  0.16
O8 0.730 0.705 0.645  0.06
Os1 0.000 0.500 0.500  1.43
Os2 0.500 0.000 0.500  1.43
Tb1 0.000 0.000 0.000  0.09
Tb2 0.500 0.500 0.000  0.09

<b>
Here is an optimized crystal structure of TbOsO4 from the Alexandria database. Energies are from PBE.

Summary:
As for the density of states at the Fermi level: 0.408 states/eV/atom. Its space group is P2_1/c (14).

abc: 5.356 7.707 7.422
angles: 99.92 90.00 90.00
Fractional coordinates of all 24 atoms:
O1 0.512 0.313 0.879
O2 0.368 0.168 0.553
O3 0.580 0.050 0.198
O4 0.080 0.950 0.302
O5 0.978 0.613 0.176
O6 0.920 0.050 0.698
O7 0.868 0.832 0.947
O8 0.522 0.613 0.676
O9 0.022 0.387 0.824
O10 0.012 0.687 0.621
O11 0.488 0.687 0.121
O12 0.632 0.832 0.447
O13 0.988 0.313 0.379
O14 0.478 0.387 0.324
O15 0.420 0.950 0.802
O16 0.132 0.168 0.053
Tb1 0.786 0.353 0.107
Tb2 0.214 0.647 0.893
Tb3 0.714 0.353 0.607
Tb4 0.286 0.647 0.393
Os1 0.771 0.840 0.203
Os2 0.229 0.160 0.797
Os3 0.729 0.840 0.703
Os4 0.271 0.160 0.297

Tell me which of them is the most stable. Sure, it is <b>.

<a>
Here is an optimized crystal structure of TcOs3O from the Alexandria database. Energies are from PBE.

Summary:
As for the density of states at the Fermi level: 1.571 states/eV/atom. Its space group is Pm-3m (221).

abc: 4.066 4.066 4.066
angles: 90.00 90.00 90.00
Fractional coordinates of all 5 atoms:
Os1 0.000 0.500 0.000
Os2 0.500 0.000 0.000
Os3 0.000 0.000 0.500
Tc1 0.500 0.500 0.500
O1 0.000 0.000 0.000

<b>
Here is an optimized crystal structure of TcOs3O from the Alexandria database. Energies are from PBE.

Summary:
As for the density of states at the Fermi level: 1.130 states/eV/atom. Its space group is Pm-3m (221).

abc: 4.689 4.689 4.689
angles: 90.00 90.00 90.00
Site moments in Bohr magnetons follow the coordinates.
Fractional coordinates of all 5 atoms:
Os1 0.000 0.000 0.500  1.23
Os2 0.500 0.000 0.000  1.11
Os3 0.000 0.500 0.000  1.30
O1 0.500 0.500 0.500  1.12
Tc1 0.000 0.000 0.000  -0.17

Tell me which of them is the most stable. Sure, it is <a>.

<a>
Here is an optimized crystal structure of TcOs2O2 from the Alexandria database. Energies are from PBE.

Summary:
As for the density of states at the Fermi level: 1.112 states/eV/atom. Its space group is P4/mbm (127).

abc: 7.196 7.196 2.709
angles: 90.00 90.00 90.00
Fractional coordinates of all 10 atoms:
O1 0.114 0.614 0.500
O2 0.886 0.386 0.500
O3 0.614 0.886 0.500
O4 0.386 0.114 0.500
Tc1 0.500 0.500 0.000
Tc2 0.000 0.000 0.000
Os1 0.248 0.252 0.000
Os2 0.752 0.748 0.000
Os3 0.748 0.248 0.000
Os4 0.252 0.752 0.000

<b>
Here is an optimized crystal structure of TcOs2O2 from the Alexandria database. Energies are from PBE.

Summary:
As for the density of states at the Fermi level: 0.845 states/eV/atom. Its space group is I4/mmm (139).

abc: 3.357 3.357 5.836
angles: 73.28 73.28 90.00
Site moments in Bohr magnetons follow the coordinates.
Fractional coordinates of all 5 atoms:
Os1 0.379 0.379 0.243  -0.03
Os2 0.621 0.621 0.757  -0.03
Tc1 0.000 0.000 0.000  1.10
O1 0.250 0.750 0.500  0.00
O2 0.750 0.250 0.500  0.00

Tell me which of them is the most stable. Sure, it is <b>.

<a>
Here is an optimized crystal structure of TlOsO2 from the Alexandria database. Energies are from PBE.

Summary:
As for the density of states at the Fermi level: 1.185 states/eV/atom. Its space group is R-3m (166).

abc: 7.340 7.340 7.340
angles: 25.67 25.67 25.67
Site moments in Bohr magnetons follow the coordinates.
Fractional coordinates of all 4 atoms:
O1 0.875 0.875 0.875  0.10
O2 0.125 0.125 0.125  0.10
Tl1 0.000 0.000 0.000  -0.03
Os1 0.500 0.500 0.500  1.00

<b>
Here is an optimized crystal structure of TlOsO2 from the Alexandria database. Energies are from PBE.

Summary:
As for the density of states at the Fermi level: 0.639 states/eV/atom. Its space group is Fm-3m (225).

abc: 4.156 4.156 4.156
angles: 60.00 60.00 60.00
Fractional coordinates of all 4 atoms:
Tl1 0.500 0.500 0.500
O1 0.250 0.250 0.250
O2 0.750 0.750 0.750
Os1 0.000 0.000 0.000

<c>
Here is an optimized crystal structure of TlOsO2 from the Alexandria database. Energies are from PBE.

Summary:
As for the density of states at the Fermi level: 0.548 states/eV/atom. Its space group is R-3m (166).

abc: 8.160 8.160 8.160
angles: 22.10 22.10 22.10
Site moments in Bohr magnetons follow the coordinates.
Fractional coordinates of all 4 atoms:
Os1 0.000 0.000 0.000  0.26
Tl1 0.500 0.500 0.500  0.00
O1 0.074 0.074 0.074  -0.01
O2 0.926 0.926 0.926  -0.01

<d>
Here is an optimized crystal structure of TlOsO2 from the Alexandria database. Energies are from PBE.

Summary:
As for the density of states at the Fermi level: 0.634 states/eV/atom. Its space group is I-42d (122).

abc: 5.126 5.126 6.619
angles: 67.22 67.22 90.00
Fractional coordinates of all 8 atoms:
O1 0.463 0.125 0.250
O2 0.875 0.713 0.750
O3 0.375 0.537 0.750
O4 0.287 0.625 0.250
Os1 0.250 0.750 0.500
Os2 0.500 0.500 0.000
Tl1 0.750 0.250 0.500
Tl2 0.000 0.000 0.000

Tell me which of them is the most stable. Sure, it is <a>.